(1)
A plane-wave DFT calculation with PBE was carried out for crystalline SrYRu2 at its relaxed geometry.

The calculated total energy comes out at -6.409 eV/atom. The value obtained for the total moment is 0.0 μB per formula unit. The formation energy comes out at 266 meV per atom.

The structure in extended XYZ format:
```
4
Lattice="2.291 -2.564 0.000 2.291 2.564 0.000 0.000 0.000 8.557" Properties=species:S:1:pos:R:3 pbc="T T T"
Sr 0.000 0.000 0.000
Y 2.291 0.000 5.155
Ru 0.000 0.000 3.234
Ru 2.291 0.000 2.343
```

(2)
A plane-wave DFT calculation with PBE was carried out for crystalline SrYRu2 at its relaxed geometry.

The calculated total energy comes out at -6.164 eV/atom. The value obtained for the total moment is 0.0 μB per formula unit. The formation energy comes out at 511 meV per atom.

The structure in extended XYZ format:
```
4
Lattice="-2.060 2.060 5.020 2.060 -2.060 5.020 2.060 2.060 -5.020" Properties=species:S:1:pos:R:3 pbc="T T T"
Sr 0.000 0.000 0.000
Y 2.060 0.000 2.510
Ru 0.000 0.000 5.020
Ru 0.000 2.060 2.510
```

(3)
A plane-wave DFT calculation with PBE was carried out for crystalline SrYRu2 at its relaxed geometry.

The calculated total energy comes out at -6.625 eV/atom. The value obtained for the total moment is 0.0 μB per formula unit. The formation energy comes out at 49 meV per atom.

The structure in extended XYZ format:
```
4
Lattice="4.282 0.000 0.000 0.000 2.255 5.376 0.000 -2.255 5.376" Properties=species:S:1:pos:R:3 pbc="T T T"
Sr 0.000 0.000 0.000
Y 2.141 0.000 3.026
Ru 0.000 0.000 7.614
Ru 2.141 0.000 6.607
```

(4)
A plane-wave DFT calculation with PBE was carried out for crystalline SrYRu2 at its relaxed geometry.

The calculated total energy comes out at -6.125 eV/atom. The value obtained for the total moment is 0.0 μB per formula unit. The formation energy comes out at 549 meV per atom.

The structure in extended XYZ format:
```
4
Lattice="0.000 3.450 3.450 3.450 0.000 3.450 3.450 3.450 0.000" Properties=species:S:1:pos:R:3 pbc="T T T"
Sr 0.000 0.000 0.000
Y 5.174 5.174 5.174
Ru 1.725 1.725 1.725
Ru 3.450 3.450 3.450
```

(5)
A plane-wave DFT calculation with PBE was carried out for crystalline SrYRu2 at its relaxed geometry.

The calculated total energy comes out at -6.420 eV/atom. The value obtained for the total moment is 1.3 μB per formula unit. The formation energy comes out at 254 meV per atom.

The structure in extended XYZ format:
```
4
Lattice="3.547 0.000 0.000 0.000 3.547 0.000 0.000 0.000 7.118" Properties=species:S:1:pos:R:3 pbc="T T T"
Sr 0.000 0.000 0.000
Y 0.000 0.000 3.559
Ru 1.773 1.773 2.114
Ru 1.773 1.773 5.004
```

(6)
A plane-wave DFT calculation with PBE was carried out for crystalline SrYRu2 at its relaxed geometry.

The calculated total energy comes out at -6.624 eV/atom. The value obtained for the total moment is 0.0 μB per formula unit. The formation energy comes out at 51 meV per atom.

The structure in extended XYZ format:
```
4
Lattice="2.097 1.210 7.671 -2.097 1.210 7.671 0.000 -2.421 7.671" Properties=species:S:1:pos:R:3 pbc="T T T"
Sr 0.000 0.000 0.000
Y 0.000 0.000 4.145
Ru 0.000 0.000 9.909
Ru 0.000 0.000 17.757
```

(7)
A plane-wave DFT calculation with PBE was carried out for crystalline SrYRu4 at its relaxed geometry.

The calculated total energy comes out at -7.473 eV/atom. The value obtained for the total moment is 1.1 μB per formula unit. The formation energy comes out at 69 meV per atom.

The structure in extended XYZ format:
```
6
Lattice="0.000 3.828 3.828 3.828 0.000 3.828 3.828 3.828 0.000" Properties=species:S:1:pos:R:3 pbc="T T T"
Sr 0.000 0.000 0.000
Y 5.741 5.741 5.741
Ru 2.874 2.874 2.874
Ru 4.781 4.781 2.874
Ru 4.781 2.874 4.781
Ru 2.874 4.781 4.781
```

(8)
A plane-wave DFT calculation with PBE was carried out for crystalline SrYRu2 at its relaxed geometry.

The calculated total energy comes out at -6.344 eV/atom. The value obtained for the total moment is 0.0 μB per formula unit. The formation energy comes out at 330 meV per atom.

The structure in extended XYZ format:
```
4
Lattice="3.199 0.000 0.000 0.000 4.446 0.000 -1.110 0.000 6.532" Properties=species:S:1:pos:R:3 pbc="T T T"
Sr 0.000 0.000 0.000
Y 1.045 0.000 3.266
Ru 0.069 2.223 4.400
Ru 2.021 2.223 2.132
```

(9)
A plane-wave DFT calculation with PBE was carried out for crystalline SrYRu2 at its relaxed geometry.

The calculated total energy comes out at -6.414 eV/atom. The value obtained for the total moment is 0.0 μB per formula unit. The formation energy comes out at 260 meV per atom.

The structure in extended XYZ format:
```
4
Lattice="3.158 0.000 0.000 0.000 3.713 0.000 0.000 0.000 8.420" Properties=species:S:1:pos:R:3 pbc="T T T"
Sr 0.000 0.000 0.000
Y 1.579 1.857 3.389
Ru 0.000 0.000 5.235
Ru 1.579 1.857 6.136
```

(10)
A plane-wave DFT calculation with PBE was carried out for crystalline SrYRu2 at its relaxed geometry.

The calculated total energy comes out at -6.325 eV/atom. The value obtained for the total moment is 0.0 μB per formula unit. The formation energy comes out at 350 meV per atom.

The structure in extended XYZ format:
```
4
Lattice="4.932 0.000 0.000 0.000 4.932 0.000 0.000 0.000 3.489" Properties=species:S:1:pos:R:3 pbc="T T T"
Sr 0.000 0.000 0.000
Y 2.466 2.466 0.000
Ru 0.000 2.466 1.744
Ru 2.466 0.000 1.744
```

(11)
A plane-wave DFT calculation with PBE was carried out for crystalline SrYRu2 at its relaxed geometry.

The calculated total energy comes out at -6.406 eV/atom. The value obtained for the total moment is 0.5 μB per formula unit. The formation energy comes out at 269 meV per atom.

The structure in extended XYZ format:
```
4
Lattice="-1.682 2.442 5.338 1.682 -2.442 5.338 1.682 2.442 -5.338" Properties=species:S:1:pos:R:3 pbc="T T T"
Sr 0.000 0.000 0.000
Y 1.682 0.000 3.004
Ru 0.000 0.000 5.875
Ru 0.000 2.442 2.526
```

(12)
A plane-wave DFT calculation with PBE was carried out for crystalline SrYRu2 at its relaxed geometry.

The calculated total energy comes out at -5.954 eV/atom. The value obtained for the total moment is 0.0 μB per formula unit. The formation energy comes out at 721 meV per atom.

The structure in extended XYZ format:
```
8
Lattice="-3.858 3.858 3.021 3.858 -3.858 3.021 3.858 3.858 -3.021" Properties=species:S:1:pos:R:3 pbc="T T T"
Sr 0.000 0.000 0.000
Sr 0.000 3.858 1.511
Y 3.858 0.000 1.511
Y 0.000 0.000 3.021
Ru 1.929 2.044 -0.755
Ru 5.672 1.929 0.755
Ru 1.929 1.814 2.266
Ru -1.814 1.929 3.777
```

(13)
A plane-wave DFT calculation with PBE was carried out for crystalline Sr4ZnRu at its relaxed geometry.

The calculated total energy comes out at -1.808 eV/atom. The value obtained for the total moment is 0.2 μB per formula unit. The formation energy comes out at 1071 meV per atom.

The structure in extended XYZ format:
```
6
Lattice="0.000 4.724 4.724 4.724 0.000 4.724 4.724 4.724 0.000" Properties=species:S:1:pos:R:3 pbc="T T T"
Sr 3.552 3.552 3.552
Sr 5.897 5.897 3.552
Sr 5.897 3.552 5.897
Sr 3.552 5.897 5.897
Zn 0.000 0.000 0.000
Ru 7.087 7.087 7.087
```

(14)
A plane-wave DFT calculation with PBE was carried out for crystalline SrZnRu at its relaxed geometry.

The calculated total energy comes out at -3.890 eV/atom. The value obtained for the total moment is 0.0 μB per formula unit. The formation energy comes out at 187 meV per atom.

The structure in extended XYZ format:
```
3
Lattice="4.346 0.000 0.000 -2.173 3.763 0.000 0.000 0.000 4.259" Properties=species:S:1:pos:R:3 pbc="T T T"
Sr 0.000 0.000 0.000
Zn 2.173 1.254 2.129
Ru 0.000 2.509 2.129
```